1.
First-principles (PBE) data for an optimized crystal structure of La4HgAuN, as listed in the Alexandria database.

```
14
Lattice="7.2310 0.0000 0.0000 0.0000 7.2299 0.0000 -3.6155 0.0000 7.6464" Properties=species:S:1:pos:R:3 pbc="T T T"
N 3.6155 1.8075 3.7747
N 0.0000 5.4225 3.8717
La -1.8078 0.0000 3.8232
La -1.8078 3.6150 3.8232
La 0.0000 5.4225 1.1254
La 3.6155 1.8075 1.2817
La 1.8078 0.0000 3.8232
La 3.6155 1.8075 6.5210
La 0.0000 5.4225 6.3646
La 1.8078 3.6150 3.8232
Au 0.0000 1.8075 1.8583
Au 3.6155 5.4225 5.7881
Hg 0.0000 1.8075 5.8507
Hg 3.6155 5.4225 1.7956
```

Fermi-level density of states = 0.86 states/eV per atom
Calculated density = 8035 kg/m3
Formation energy from raw total energies = -0.748 eV/atom

=====

2.
First-principles (PBE) data for an optimized crystal structure of LaHg2AuN, as listed in the Alexandria database.

```
5
Lattice="-1.3191 4.1621 3.9610 -3.0340 1.0053 -2.0668 -3.3062 -3.8736 2.9692" Properties=species:S:1:pos:R:3 pbc="T T T"
La -3.8297 0.6469 2.4317
Au 0.0000 0.0000 0.0000
N -1.5170 0.5027 -1.0334
Hg -1.6531 -1.9368 1.4846
Hg -0.6596 2.0810 1.9805
```

Fermi-level density of states = 1.05 states/eV per atom
Calculated density = 9429 kg/m3
Formation energy from raw total energies = 0.476 eV/atom

=====

3.
First-principles (PBE) data for an optimized crystal structure of NaLaHgAu, as listed in the Alexandria database.

```
4
Lattice="-4.9838 1.6759 0.1489 -3.4842 -1.7947 -3.5083 -3.8286 -3.2665 1.5300" Properties=species:S:1:pos:R:3 pbc="T T T"
Hg -9.2225 -2.5390 -1.3720
Na -6.1483 -1.6926 -0.9147
La 0.0000 0.0000 0.0000
Au -3.0742 -0.8463 -0.4573
```

Fermi-level density of states = 0.62 states/eV per atom
Calculated density = 9027 kg/m3
Calculated formation energy = -502 meV per atom

=====

4.
First-principles (PBE) data for an optimized crystal structure of LaNdHgAu, as listed in the Alexandria database.

```
4
Lattice="-2.3616 -2.9232 -0.6248 1.8026 -0.7575 -3.2695 4.7790 -4.6545 3.7132" Properties=species:S:1:pos:R:3 pbc="T T T"
Nd 1.7699 -1.7238 1.3752
Hg 0.2703 -2.3759 -1.5199
La 4.0381 -3.9329 3.1375
Au 2.5764 -4.6218 0.2718
```

Fermi-level density of states = 0.86 states/eV per atom
Calculated density = 10201 kg/m3
Calculated formation energy = -628 meV per atom
Energy above the most stable polymorph in this dataset = 0 meV per atom

=====

> Among the records above, which one has the highest Fermi-level density of states?

LaHg2AuN